1.
A geometry-optimized SiW2Br structure. Source: the Alexandria database, functional PBEsol.

The space group is I-4m2 (No. 119) and the conventional cell measures 4.0810, 4.0810 and 7.5502 Å, with angles of 90.00, 90.00 and 90.00 degrees. Symmetry generates all atoms from Si at (0.0000, 0.0000, 0.0000), W at (0.0000, 0.0000, 0.5000), W at (0.0000, 0.5000, 0.2500) and Br at (0.0000, 0.5000, 0.7500).

The magnetic moment comes out at 0.00 μB/f.u. The calculation puts the raw formation energy at 0.902 eV per atom. The density of states at the Fermi level is 4.88 states/eV per cell.

2.
A geometry-optimized ZnSiBr structure. Source: the Alexandria database, functional PBEsol.

The space group is Fmm2 (No. 42) and the conventional cell measures 5.0528, 5.0638 and 10.7146 Å, with angles of 90.00, 90.00 and 90.00 degrees. Symmetry generates all atoms from Zn at (0.0000, 0.0000, 0.0000), Si at (0.0000, 0.0000, 0.5276) and Br at (0.0000, 0.0000, 0.7455).

The magnetic moment comes out at 0.00 μB/f.u. The calculation puts the raw formation energy at 0.057 eV per atom. The density of states at the Fermi level is 2.65 states/eV per cell.

3.
A geometry-optimized Zn2SiBr structure. Source: the Alexandria database, functional PBEsol.

The space group is R-3m (No. 166, hexagonal axes) and the conventional cell measures 3.5674, 3.5674 and 20.4492 Å, with angles of 90.00, 90.00 and 120.00 degrees. Symmetry generates all atoms from Zn at (0.0000, 0.0000, 0.2378), Si at (0.0000, 0.0000, 0.5000) and Br at (0.0000, 0.0000, 0.0000).

The magnetic moment comes out at 0.00 μB/f.u. The calculation puts the raw formation energy at 0.028 eV per atom. The density of states at the Fermi level is 2.73 states/eV per cell.

4.
A geometry-optimized Zn2SiBr structure. Source: the Alexandria database, functional PBEsol.

The space group is F-43m (No. 216) and the conventional cell measures 6.6720, 6.6720 and 6.6720 Å, with angles of 90.00, 90.00 and 90.00 degrees. Symmetry generates all atoms from Zn at (0.0000, 0.0000, 0.0000), Zn at (0.2500, 0.2500, 0.2500), Si at (0.2500, 0.2500, 0.7500) and Br at (0.0000, 0.0000, 0.5000).

The magnetic moment comes out at 0.00 μB/f.u. The calculation puts the raw formation energy at 0.534 eV per atom. The density of states at the Fermi level is 9.19 states/eV per cell.

5.
A geometry-optimized ZrSiBr3 structure. Source: the Alexandria database, functional PBEsol.

The space group is Pm-3m (No. 221) and the conventional cell measures 5.0960, 5.0960 and 5.0960 Å, with angles of 90.00, 90.00 and 90.00 degrees. Symmetry generates all atoms from Zr at (0.0000, 0.0000, 0.0000), Si at (0.5000, 0.5000, 0.5000) and Br at (0.0000, 0.5000, 0.5000).

The magnetic moment comes out at 2.90 μB/f.u. The calculation puts the raw formation energy at 0.352 eV per atom. The density of states at the Fermi level is 5.79 states/eV per cell.

6.
A geometry-optimized ZrSiBr2 structure. Source: the Alexandria database, functional PBEsol.

The space group is C2/m (No. 12) and the conventional cell measures 6.1786, 9.4790 and 3.3263 Å, with angles of 90.00, 121.02 and 90.00 degrees. Symmetry generates all atoms from Zr at (0.0000, 0.0000, 0.0000), Si at (0.0000, 0.5000, 0.0000) and Br at (0.2500, 0.2500, 0.0000).

The magnetic moment comes out at 0.00 μB/f.u. The calculation puts the raw formation energy at -0.134 eV per atom. The density of states at the Fermi level is 2.90 states/eV per cell.

7.
A geometry-optimized ZrSiBr2 structure. Source: the Alexandria database, functional PBEsol.

The space group is R-3m (No. 166, hexagonal axes) and the conventional cell measures 3.2957, 3.2957 and 27.8982 Å, with angles of 90.00, 90.00 and 120.00 degrees. Symmetry generates all atoms from Zr at (0.0000, 0.0000, 0.0000), Si at (0.0000, 0.0000, 0.5000) and Br at (0.0000, 0.0000, 0.2632).

The magnetic moment comes out at 0.00 μB/f.u. The calculation puts the raw formation energy at -0.367 eV per atom. The density of states at the Fermi level is 5.07 states/eV per cell.

8.
A geometry-optimized Zr3SiBr structure. Source: the Alexandria database, functional PBEsol.

The space group is Pm-3m (No. 221) and the conventional cell measures 4.9736, 4.9736 and 4.9736 Å, with angles of 90.00, 90.00 and 90.00 degrees. Symmetry generates all atoms from Zr at (0.0000, 0.0000, 0.5000), Si at (0.0000, 0.0000, 0.0000) and Br at (0.5000, 0.5000, 0.5000).

The magnetic moment comes out at 0.00 μB/f.u. The calculation puts the raw formation energy at 0.368 eV per atom. The density of states at the Fermi level is 8.65 states/eV per cell.